A relaxed structure of Ca2YF, computed with PBE.

Cell lengths 7.2070, 7.2070, 9.7531 Å; angles 90.00, 90.00, 90.00 degrees
Atoms (fractional coordinates):
Ca: 0.0735 0.7500 0.1250
Ca: 0.2500 0.0735 0.8750
Ca: 0.2500 0.4265 0.3750
Ca: 0.4265 0.7500 0.6250
Ca: 0.5735 0.2500 0.6250
Ca: 0.7500 0.5735 0.3750
Ca: 0.7500 0.9265 0.8750
Ca: 0.9265 0.2500 0.1250
Y: 0.0000 0.0000 0.5000
Y: 0.0000 0.5000 0.7500
Y: 0.5000 0.0000 0.2500
Y: 0.5000 0.5000 0.0000
F: 0.0000 0.0000 0.0000
F: 0.0000 0.5000 0.2500
F: 0.5000 0.0000 0.7500
F: 0.5000 0.5000 0.5000

SG: I-42d, No. 122
DOS(E_F): 2.62 states/eV/f.u.
total DFT energy (no corrections): -0.1573 hartree per atom